A plane-wave DFT calculation with PBE was carried out for crystalline Sm3Sc3Cd at its relaxed geometry. Values from VASP.

The structure in Quantum ESPRESSO input format:
```
&SYSTEM
  ibrav = 0, nat = 14, ntyp = 3
/
ATOMIC_SPECIES
Sm 150.36 Sm.upf
Sc 44.96 Sc.upf
Cd 112.41 Cd.upf
CELL_PARAMETERS angstrom
9.175 0.000 0.000
-4.588 7.946 0.000
0.000 0.000 5.346
ATOMIC_POSITIONS angstrom
Sm -1.188 3.690 1.336
Sm -0.799 7.130 1.336
Sm 2.601 2.873 4.009
Sm 1.986 5.073 1.336
Sm 5.386 0.816 4.009
Sm 5.775 4.256 4.009
Sc -0.545 1.787 4.009
Sc -2.768 7.524 4.009
Sc 1.275 1.365 1.336
Sc 3.312 6.581 4.009
Sc 7.355 0.422 1.336
Sc 5.132 6.159 1.336
Cd 0.000 5.297 4.009
Cd 4.588 2.649 1.336
```

## Properties
As for the symmetry: P6_3/m, No. 176. The calculated formation energy is -0.03 eV/atom. The total energy comes out at -4.900 eV/atom.

---

A plane-wave DFT calculation with PBE was carried out for crystalline SmScCd2 at its relaxed geometry. Values from VASP.

The structure in Quantum ESPRESSO input format:
```
&SYSTEM
  ibrav = 0, nat = 4, ntyp = 3
/
ATOMIC_SPECIES
Sm 150.36 Sm.upf
Sc 44.96 Sc.upf
Cd 112.41 Cd.upf
CELL_PARAMETERS angstrom
3.614 0.000 0.000
0.000 3.614 0.000
0.000 0.000 7.602
ATOMIC_POSITIONS angstrom
Sm 0.000 0.000 0.000
Sc 0.000 0.000 3.801
Cd 1.807 1.807 2.121
Cd 1.807 1.807 5.481
```

## Properties
As for the symmetry: P4/mmm, No. 123. The calculated formation energy is -0.30 eV/atom. The total energy comes out at -3.519 eV/atom.

---

A plane-wave DFT calculation with PBE was carried out for crystalline Sm2ScCd3 at its relaxed geometry. Values from VASP.

The structure in Quantum ESPRESSO input format:
```
&SYSTEM
  ibrav = 0, nat = 6, ntyp = 3
/
ATOMIC_SPECIES
Sm 150.36 Sm.upf
Sc 44.96 Sc.upf
Cd 112.41 Cd.upf
CELL_PARAMETERS angstrom
3.625 0.000 0.000
0.000 3.625 0.000
0.000 0.000 11.765
ATOMIC_POSITIONS angstrom
Sm 0.000 0.000 2.095
Sm 0.000 0.000 9.670
Sc 0.000 0.000 5.883
Cd 1.813 1.813 0.000
Cd 1.813 1.813 4.213
Cd 1.813 1.813 7.552
```

## Properties
As for the symmetry: P4/mmm, No. 123. The calculated formation energy is -0.30 eV/atom. The total energy comes out at -3.383 eV/atom.

---

A plane-wave DFT calculation with PBE was carried out for crystalline Sm8Sc2Cd at its relaxed geometry. Values from VASP.

The structure in Quantum ESPRESSO input format:
```
&SYSTEM
  ibrav = 0, nat = 11, ntyp = 3
/
ATOMIC_SPECIES
Sm 150.36 Sm.upf
Sc 44.96 Sc.upf
Cd 112.41 Cd.upf
CELL_PARAMETERS angstrom
8.910 -2.495 0.000
8.910 2.495 0.000
-2.159 0.000 7.589
ATOMIC_POSITIONS angstrom
Sm 0.362 0.000 1.698
Sm 0.981 0.000 5.220
Sm 4.400 0.000 4.454
Sm 7.124 0.000 0.393
Sm 8.538 0.000 7.196
Sm 11.262 0.000 3.135
Sm 14.681 0.000 2.369
Sm 15.299 0.000 5.891
Sc 3.727 0.000 1.004
Sc 11.934 0.000 6.585
Cd 7.831 0.000 3.794
```

## Properties
As for the symmetry: C2/m, No. 12. The calculated formation energy is 0.00 eV/atom. The total energy comes out at -4.671 eV/atom.

---

A plane-wave DFT calculation with PBE was carried out for crystalline SmScCd6 at its relaxed geometry. Values from VASP.

The structure in Quantum ESPRESSO input format:
```
&SYSTEM
  ibrav = 0, nat = 8, ntyp = 3
/
ATOMIC_SPECIES
Sm 150.36 Sm.upf
Sc 44.96 Sc.upf
Cd 112.41 Cd.upf
CELL_PARAMETERS angstrom
4.849 0.000 0.000
0.000 3.578 5.375
0.000 -3.578 5.375
ATOMIC_POSITIONS angstrom
Sm 0.000 0.000 0.000
Sc 2.425 0.000 7.879
Cd 0.000 -1.579 2.904
Cd 0.000 1.579 2.904
Cd 0.000 0.000 5.891
Cd 2.425 0.000 2.100
Cd 2.425 -1.535 4.957
Cd 2.425 1.535 4.957
```

## Properties
As for the symmetry: Amm2, No. 38. The calculated formation energy is -0.24 eV/atom. The total energy comes out at -2.312 eV/atom.

---

A plane-wave DFT calculation with PBE was carried out for crystalline Sm5ScCd4 at its relaxed geometry. Values from VASP.

The structure in Quantum ESPRESSO input format:
```
&SYSTEM
  ibrav = 0, nat = 10, ntyp = 3
/
ATOMIC_SPECIES
Sm 150.36 Sm.upf
Sc 44.96 Sc.upf
Cd 112.41 Cd.upf
CELL_PARAMETERS angstrom
3.763 0.000 0.000
0.000 3.763 0.000
0.000 0.000 19.841
ATOMIC_POSITIONS angstrom
Sm 0.000 0.000 0.000
Sm 0.000 0.000 3.879
Sm 0.000 0.000 7.805
Sm 0.000 0.000 12.036
Sm 0.000 0.000 15.962
Sc 1.881 1.881 9.921
Cd 1.881 1.881 1.940
Cd 1.881 1.881 5.873
Cd 1.881 1.881 13.968
Cd 1.881 1.881 17.901
```

## Properties
As for the symmetry: P4/mmm, No. 123. The calculated formation energy is -0.23 eV/atom. The total energy comes out at -3.591 eV/atom.

---

A plane-wave DFT calculation with PBE was carried out for crystalline Sm3Sc2Cd3 at its relaxed geometry. Values from VASP.

The structure in Quantum ESPRESSO input format:
```
&SYSTEM
  ibrav = 0, nat = 8, ntyp = 3
/
ATOMIC_SPECIES
Sm 150.36 Sm.upf
Sc 44.96 Sc.upf
Cd 112.41 Cd.upf
CELL_PARAMETERS angstrom
-1.829 2.687 10.971
1.829 -2.687 10.971
1.829 2.687 -10.971
ATOMIC_POSITIONS angstrom
Sm 0.000 0.000 0.000
Sm 1.829 0.000 8.181
Sm 0.000 2.687 2.790
Sc 0.000 0.000 5.214
Sc 0.000 0.000 16.728
Cd 1.829 0.000 2.804
Cd 0.000 0.000 10.971
Cd 0.000 2.687 8.168
```

## Properties
As for the symmetry: Immm, No. 71. The calculated formation energy is -0.21 eV/atom. The total energy comes out at -3.904 eV/atom.

---

A plane-wave DFT calculation with PBE was carried out for crystalline Sm2ScCd6 at its relaxed geometry. Values from VASP.

The structure in Quantum ESPRESSO input format:
```
&SYSTEM
  ibrav = 0, nat = 9, ntyp = 3
/
ATOMIC_SPECIES
Sm 150.36 Sm.upf
Sc 44.96 Sc.upf
Cd 112.41 Cd.upf
CELL_PARAMETERS angstrom
8.659 0.000 0.000
-4.329 7.499 0.000
0.000 0.000 3.362
ATOMIC_POSITIONS angstrom
Sm 0.000 4.999 0.000
Sm 4.329 2.500 0.000
Sc 0.000 0.000 0.000
Cd -1.418 2.456 1.681
Cd -2.912 5.043 1.681
Cd 2.835 0.000 1.681
Cd 1.418 2.456 1.681
Cd 5.824 0.000 1.681
Cd 2.912 5.043 1.681
```

## Properties
As for the symmetry: P6/mmm, No. 191. The calculated formation energy is -0.29 eV/atom. The total energy comes out at -2.652 eV/atom.

---

A plane-wave DFT calculation with PBE was carried out for crystalline SmSc5Cd4 at its relaxed geometry. Values from VASP.

The structure in Quantum ESPRESSO input format:
```
&SYSTEM
  ibrav = 0, nat = 10, ntyp = 3
/
ATOMIC_SPECIES
Sm 150.36 Sm.upf
Sc 44.96 Sc.upf
Cd 112.41 Cd.upf
CELL_PARAMETERS angstrom
3.497 0.000 0.000
0.000 3.497 0.000
0.000 0.000 19.238
ATOMIC_POSITIONS angstrom
Sm 0.000 0.000 0.000
Sc 1.749 1.749 2.381
Sc 1.749 1.749 6.022
Sc 1.749 1.749 9.619
Sc 1.749 1.749 13.216
Sc 1.749 1.749 16.857
Cd 0.000 0.000 4.188
Cd 0.000 0.000 7.806
Cd 0.000 0.000 11.433
Cd 0.000 0.000 15.050
```

## Properties
As for the symmetry: P4/mmm, No. 123. The calculated formation energy is -0.22 eV/atom. The total energy comes out at -4.219 eV/atom.

---

A plane-wave DFT calculation with PBE was carried out for crystalline Sm3Sc2Cd2 at its relaxed geometry. Values from VASP.

The structure in Quantum ESPRESSO input format:
```
&SYSTEM
  ibrav = 0, nat = 7, ntyp = 3
/
ATOMIC_SPECIES
Sm 150.36 Sm.upf
Sc 44.96 Sc.upf
Cd 112.41 Cd.upf
CELL_PARAMETERS angstrom
2.495 -11.176 0.000
2.495 11.176 0.000
0.000 0.000 3.441
ATOMIC_POSITIONS angstrom
Sm 0.000 0.000 0.000
Sm 2.495 7.772 0.000
Sm 2.495 -7.772 0.000
Sc 2.495 4.778 1.721
Sc 2.495 -4.778 1.721
Cd 2.495 1.628 1.721
Cd 2.495 -1.628 1.721
```

## Properties
As for the symmetry: Cmmm, No. 65. The calculated formation energy is -0.09 eV/atom. The total energy comes out at -4.180 eV/atom.

---

A plane-wave DFT calculation with PBE was carried out for crystalline SmSc3Cd2 at its relaxed geometry. Values from VASP.

The structure in Quantum ESPRESSO input format:
```
&SYSTEM
  ibrav = 0, nat = 6, ntyp = 3
/
ATOMIC_SPECIES
Sm 150.36 Sm.upf
Sc 44.96 Sc.upf
Cd 112.41 Cd.upf
CELL_PARAMETERS angstrom
3.508 0.000 0.000
0.000 3.508 0.000
0.000 0.000 11.917
ATOMIC_POSITIONS angstrom
Sm 0.000 0.000 0.000
Sc 1.754 1.754 2.365
Sc 1.754 1.754 5.958
Sc 1.754 1.754 9.552
Cd 0.000 0.000 4.156
Cd 0.000 0.000 7.761
```

## Properties
As for the symmetry: P4/mmm, No. 123. The calculated formation energy is -0.17 eV/atom. The total energy comes out at -4.426 eV/atom.

---

A plane-wave DFT calculation with PBE was carried out for crystalline SmSc2Cd at its relaxed geometry. Values from VASP.

The structure in Quantum ESPRESSO input format:
```
&SYSTEM
  ibrav = 0, nat = 4, ntyp = 3
/
ATOMIC_SPECIES
Sm 150.36 Sm.upf
Sc 44.96 Sc.upf
Cd 112.41 Cd.upf
CELL_PARAMETERS angstrom
4.658 0.000 0.000
0.000 4.658 0.000
0.000 0.000 4.686
ATOMIC_POSITIONS angstrom
Sm 0.000 0.000 0.000
Sc 0.000 2.329 2.343
Sc 2.329 0.000 2.343
Cd 2.329 2.329 0.000
```

## Properties
As for the symmetry: P4/mmm, No. 123. The calculated formation energy is -0.08 eV/atom. The total energy comes out at -4.656 eV/atom.